[1]
Entry from Alexandria via LeMat-Bulk: Li2HgSb2 after structural relaxation (PBE).

```
Li2HgSb2
1.0
-3.984 -2.078 -0.952
0.817 -6.378 -0.577
-4.621 0.035 8.186
Sb Li Hg
4 4 2
direct
0.037 0.303 0.623
0.963 0.697 0.377
0.703 0.719 0.875
0.297 0.281 0.125
0.295 0.734 0.676
0.093 0.757 0.058
0.907 0.243 0.942
0.705 0.266 0.324
0.608 0.072 0.711
0.392 0.928 0.289
```

---

[2]
Entry from Alexandria via LeMat-Bulk: Li3HgSb after structural relaxation (PBE).

```
Li3HgSb
1.0
5.100 0.000 0.000
0.000 7.712 -0.893
0.000 -3.213 10.275
Li Hg Sb
12 4 4
direct
0.750 0.143 0.147
0.750 0.434 0.051
0.750 0.856 0.253
0.250 0.644 0.247
0.750 0.934 0.551
0.250 0.066 0.449
0.750 0.643 0.647
0.250 0.357 0.353
0.250 0.566 0.949
0.250 0.857 0.853
0.250 0.144 0.747
0.750 0.356 0.753
0.250 0.781 0.543
0.250 0.281 0.043
0.750 0.719 0.957
0.750 0.219 0.457
0.250 0.952 0.161
0.750 0.548 0.339
0.250 0.452 0.661
0.750 0.048 0.839
```

---

[3]
Entry from Alexandria via LeMat-Bulk: Li2HgSb after structural relaxation (PBE).

```
Li2HgSb
1.0
1.314 4.783 3.588
-4.771 -3.683 -1.073
5.186 0.003 3.253
Sb Hg Li
1 1 2
direct
0.000 0.000 0.000
0.500 0.000 0.500
0.747 0.000 0.747
0.253 0.000 0.253
```

---

[4]
Entry from Alexandria via LeMat-Bulk: Li2HgSb after structural relaxation (PBE).

```
Li2HgSb
1.0
-3.696 -5.628 -3.691
-2.036 -3.080 6.733
-5.414 -2.678 1.517
Li Hg Sb
4 2 2
direct
0.628 0.125 0.250
0.375 0.372 0.750
0.122 0.625 0.250
0.875 0.878 0.750
0.750 0.250 0.500
0.000 0.000 0.000
0.500 0.500 0.000
0.250 0.750 0.500
```

---

[5]
Entry from Alexandria via LeMat-Bulk: LiHgSb after structural relaxation (PBE).

```
LiHgSb
1.0
-18.482 -6.244 -0.637
-8.295 -2.414 -3.058
9.114 0.205 0.931
Hg Li Sb
2 2 2
direct
0.890 0.255 0.745
0.358 0.360 0.640
0.319 0.042 0.958
0.927 0.575 0.425
0.812 0.046 0.954
0.433 0.571 0.429
```

---

[6]
Entry from Alexandria via LeMat-Bulk: Li3Hg4Sb after structural relaxation (PBE).

```
Li3Hg4Sb
1.0
-0.394 -3.190 0.893
1.840 -1.365 -4.057
8.645 1.827 11.149
Sb Hg Li
1 4 3
direct
0.000 0.000 0.000
0.007 0.092 0.393
0.993 0.908 0.607
0.012 0.355 0.231
0.988 0.645 0.769
0.496 0.374 0.584
0.504 0.626 0.416
0.500 0.500 0.000
```

---

[7]
Entry from Alexandria via LeMat-Bulk: Li2HgSb after structural relaxation (PBE).

```
Li2HgSb
1.0
-0.669 -0.192 -5.315
0.003 -3.228 -4.280
-4.917 -1.027 0.180
Sb Li Hg
1 2 1
direct
0.497 0.497 0.550
0.995 0.995 0.045
0.757 0.757 0.719
0.252 0.252 0.186
```

---

[8]
Entry from Alexandria via LeMat-Bulk: Li2HgSb after structural relaxation (PBE).

```
Li2HgSb
1.0
5.454 0.071 0.000
2.070 5.046 0.000
-3.762 -2.559 3.009
Li Hg Sb
2 1 1
direct
0.000 0.000 0.000
0.250 0.750 0.500
0.750 0.250 0.500
0.500 0.500 0.000
```

---

[9]
Entry from Alexandria via LeMat-Bulk: LiHg2Sb after structural relaxation (PBE).

```
LiHg2Sb
1.0
-3.949 -4.036 -7.712
-1.816 -6.540 -6.731
-4.917 -6.264 -5.287
Li Hg Sb
1 2 1
direct
0.250 0.250 0.250
0.510 0.510 0.510
0.990 0.990 0.990
0.750 0.750 0.750
```

---

[10]
Entry from Alexandria via LeMat-Bulk: Li4Hg7Sb after structural relaxation (PBE).

```
Li4Hg7Sb
1.0
-5.718 0.465 0.059
-2.933 -1.599 7.338
-2.348 6.034 3.981
Hg Li Sb
7 4 1
direct
0.687 0.471 0.154
0.313 0.529 0.846
0.500 0.000 0.000
0.929 0.415 0.727
0.775 0.051 0.399
0.071 0.585 0.273
0.225 0.949 0.601
0.450 0.712 0.388
0.550 0.288 0.612
0.266 0.235 0.233
0.734 0.765 0.767
0.000 0.000 0.000
```

---

[11]
Entry from Alexandria via LeMat-Bulk: LiHg2Sb after structural relaxation (PBE).

```
LiHg2Sb
1.0
-0.679 -1.085 -2.881
1.669 -2.608 0.592
-7.932 -4.286 3.483
Hg Li Sb
2 1 1
direct
0.000 0.000 0.013
0.500 0.500 0.294
0.000 0.000 0.494
0.500 0.500 0.700
```

---

[12]
Entry from Alexandria via LeMat-Bulk: LiHg2Sb after structural relaxation (PBE).

```
LiHg2Sb
1.0
4.504 0.000 0.000
0.000 3.454 0.195
0.000 3.376 6.324
Hg Sb Li
2 1 1
direct
0.500 0.280 0.241
0.000 0.004 0.025
0.500 0.755 0.713
0.000 0.462 0.521
```

---

[13]
Entry from Alexandria via LeMat-Bulk: LiHg2Sb after structural relaxation (PBE).

```
LiHg2Sb
1.0
-0.571 -4.905 -1.350
0.840 -3.712 3.424
-3.926 -2.721 1.840
Hg Sb Li
2 1 1
direct
0.250 0.250 0.250
0.000 0.000 0.000
0.750 0.750 0.750
0.500 0.500 0.500
```

---

[14]
Entry from Alexandria via LeMat-Bulk: Li7Hg12Sb after structural relaxation (PBE).

```
Li7Hg12Sb
1.0
-4.751 -1.019 -2.998
3.787 -9.009 0.684
-3.721 3.784 8.235
Li Hg Sb
7 12 1
direct
0.342 0.300 0.227
0.114 0.773 0.073
0.041 0.927 0.700
0.959 0.073 0.300
0.886 0.227 0.927
0.500 0.000 0.000
0.658 0.700 0.773
0.326 0.378 0.544
0.782 0.456 0.833
0.143 0.655 0.734
0.857 0.345 0.266
0.948 0.167 0.622
0.408 0.266 0.921
0.592 0.734 0.079
0.218 0.544 0.167
0.674 0.622 0.456
0.052 0.833 0.378
0.513 0.921 0.655
0.487 0.079 0.345
0.000 0.000 0.000
```

---

[15]
Entry from Alexandria via LeMat-Bulk: Li3Hg12Sb5 after structural relaxation (PBE).

```
Li3Hg12Sb5
1.0
14.515 0.000 0.000
-4.838 13.685 0.000
-4.838 -6.843 11.852
Hg Sb Li
48 20 12
direct
0.170 0.069 0.930
0.570 0.330 0.931
0.931 0.830 0.570
0.330 0.761 0.399
0.931 0.101 0.862
0.070 0.431 0.830
0.170 0.101 0.739
0.638 0.070 0.239
0.362 0.930 0.761
0.601 0.862 0.431
0.570 0.239 0.138
0.330 0.570 0.431
0.070 0.638 0.739
0.261 0.399 0.830
0.899 0.069 0.638
0.670 0.239 0.601
0.430 0.761 0.862
0.601 0.739 0.670
0.761 0.330 0.899
0.830 0.931 0.070
0.930 0.362 0.261
0.362 0.431 0.101
0.431 0.362 0.601
0.862 0.601 0.931
0.431 0.070 0.330
0.739 0.138 0.070
0.069 0.899 0.138
0.138 0.399 0.069
0.430 0.670 0.069
0.569 0.638 0.399
0.101 0.931 0.362
0.239 0.570 0.638
0.261 0.862 0.930
0.761 0.430 0.362
0.069 0.170 0.430
0.862 0.261 0.430
0.930 0.569 0.170
0.899 0.830 0.761
0.138 0.739 0.570
0.830 0.899 0.261
0.101 0.170 0.239
0.670 0.430 0.569
0.569 0.930 0.670
0.399 0.138 0.569
0.638 0.569 0.899
0.399 0.261 0.330
0.739 0.601 0.170
0.239 0.670 0.101
0.500 0.000 0.500
0.375 0.125 0.750
0.125 0.375 0.250
0.250 0.875 0.125
0.875 0.250 0.625
0.625 0.750 0.875
0.250 0.375 0.625
0.125 0.750 0.375
0.875 0.625 0.750
0.500 0.500 0.500
0.750 0.625 0.375
0.500 0.500 0.000
0.750 0.125 0.875
0.000 0.500 0.000
0.000 0.000 0.500
0.625 0.875 0.250
0.000 0.000 0.000
0.500 0.000 0.000
0.375 0.250 0.125
0.000 0.500 0.500
0.125 0.875 0.750
0.125 0.250 0.875
0.375 0.625 0.250
0.750 0.875 0.625
0.625 0.250 0.375
0.375 0.750 0.625
0.875 0.125 0.250
0.250 0.625 0.875
0.625 0.375 0.750
0.875 0.750 0.125
0.250 0.125 0.375
0.750 0.375 0.125
```

---

[16]
Entry from Alexandria via LeMat-Bulk: Li3Hg2Sb after structural relaxation (PBE).

```
Li3Hg2Sb
1.0
-1.597 3.494 2.646
1.391 -3.024 4.833
8.134 3.725 -0.010
Hg Li Sb
4 6 2
direct
0.000 0.912 0.282
0.000 0.412 0.718
0.500 0.154 0.428
0.500 0.654 0.572
0.500 0.610 0.241
0.500 0.648 0.903
0.500 0.148 0.097
0.000 0.922 0.597
0.500 0.110 0.759
0.000 0.422 0.403
0.000 0.455 0.071
0.000 0.955 0.929
```

---

[17]
Entry from Alexandria via LeMat-Bulk: Li5Hg3Sb4 after structural relaxation (PBE).

```
Li5Hg3Sb4
1.0
-4.746 -2.987 0.473
0.052 -7.643 7.225
-2.429 1.553 4.927
Sb Hg Li
4 3 5
direct
0.715 0.193 0.773
0.285 0.807 0.227
0.228 0.685 0.830
0.772 0.315 0.170
0.000 0.500 0.500
0.265 0.072 0.379
0.735 0.928 0.621
0.500 0.500 0.500
0.761 0.882 0.132
0.239 0.118 0.868
0.744 0.624 0.956
0.256 0.376 0.044
```

---

[18]
Entry from Alexandria via LeMat-Bulk: LiHg2Sb after structural relaxation (PBE).

```
LiHg2Sb
1.0
4.692 0.000 0.000
2.346 4.064 0.000
2.346 1.355 5.053
Hg Sb Li
2 1 1
direct
0.267 0.267 0.200
0.054 0.054 0.838
0.488 0.488 0.537
0.692 0.692 0.925
```

---

[19]
Entry from Alexandria via LeMat-Bulk: Li2HgSb after structural relaxation (PBE).

```
Li2HgSb
1.0
-1.080 -2.935 3.803
1.322 -2.541 -1.586
4.418 1.023 2.044
Hg Li Sb
1 2 1
direct
0.500 0.624 0.849
0.500 0.125 0.338
0.000 0.125 0.908
0.000 0.626 0.406
```

---

[20]
Entry from Alexandria via LeMat-Bulk: LiHg2Sb after structural relaxation (PBE).

```
LiHg2Sb
1.0
4.443 0.000 0.000
0.000 4.443 0.000
2.222 2.222 10.114
Sb Hg Li
2 4 2
direct
0.750 0.250 0.500
0.000 0.000 0.000
0.875 0.856 0.750
0.375 0.394 0.750
0.606 0.125 0.250
0.144 0.625 0.250
0.500 0.500 0.000
0.250 0.750 0.500
```

---

Raw formation energy values (in meV/atom) by entry order: -272, -481, 10, -227, -246, -248, -390, -353, -94, -161, -151, -128, -91, -248, 91, -346, -278, -98, -422, -95.